VASP calculation (PBE-GGA) on a relaxed structure of CdNi2H.

The structure in POSCAR format:
```
CdNi2H
1.0
0.0000 2.9166 2.9166
2.9166 0.0000 2.9166
2.9166 2.9166 0.0000
Ni H Cd
2 1 1
Direct
0.2500 0.2500 0.2500
0.7500 0.7500 0.7500
0.0000 0.0000 0.0000
0.5000 0.5000 0.5000
```

Calculated values
- Excess energy over the best structure of this formula in the dataset: 0.694 eV per atom
- Calculated volume: 49.6 Å³/cell
- Energy: -13.06 eV/cell
- Total magnetic moment: 0.00 μB/cell